The following is a PBE calculation of a relaxed structure of Sr2PuSb4Pt3, from the Alexandria database.

Values from the calculation:
* VASP energy: -59.37 eV for the cell shown
* formation energy without anion corrections: -0.71 eV per atom

Lattice parameters (Å, degrees): 4.6490 4.6490 12.0566 90.00 90.00 90.00
Fractional positions:
Sr 0.0000 0.5000 0.2337
Sr 0.5000 0.0000 0.7663
Pu 0.0000 0.0000 0.5000
Sb 0.0000 0.0000 0.0000
Sb 0.0000 0.5000 0.6592
Sb 0.5000 0.0000 0.3408
Sb 0.5000 0.5000 0.0000
Pt 0.0000 0.5000 0.8818
Pt 0.5000 0.0000 0.1182
Pt 0.5000 0.5000 0.5000

---

The following is a PBE calculation of a relaxed structure of Pu5ScPt6, from the Alexandria database.

Values from the calculation:
* formation enthalpy at 0 K: -0.771 eV/atom
* VASP energy: -123.49 eV for the cell shown

Lattice parameters (Å, degrees): 8.5311 8.5311 8.5311 146.87 131.64 59.88
Fractional positions:
Pu 0.0000 0.0000 0.0000
Pu 0.1620 0.6620 0.5000
Pu 0.3212 0.3212 0.0000
Pu 0.6788 0.6788 0.0000
Pu 0.8380 0.3380 0.5000
Sc 0.5000 0.0000 0.5000
Pt 0.1124 0.8456 0.2667
Pt 0.2802 0.5000 0.7802
Pt 0.4211 0.1544 0.2667
Pt 0.5789 0.8456 0.7333
Pt 0.7198 0.5000 0.2198
Pt 0.8876 0.1544 0.7333

---

The following is a PBE calculation of a relaxed structure of Pu6ScPt5, from the Alexandria database.

Values from the calculation:
* formation enthalpy at 0 K: -0.611 eV/atom
* VASP energy: -129.86 eV for the cell shown

Lattice parameters (Å, degrees): 8.8255 8.8255 8.8255 146.95 134.47 57.40
Fractional positions:
Pu 0.0601 0.3238 0.7363
Pu 0.2152 0.0000 0.2152
Pu 0.4124 0.6762 0.7363
Pu 0.5876 0.3238 0.2637
Pu 0.7848 0.0000 0.7848
Pu 0.9399 0.6762 0.2637
Sc 0.5000 0.5000 0.0000
Pt 0.0000 0.5000 0.5000
Pt 0.1729 0.1729 0.0000
Pt 0.3651 0.8651 0.5000
Pt 0.6349 0.1349 0.5000
Pt 0.8271 0.8271 0.0000

---

The following is a PBE calculation of a relaxed structure of Pu2ScPt3, from the Alexandria database.

Values from the calculation:
* formation enthalpy at 0 K: -0.889 eV/atom
* VASP energy: -116.90 eV for the cell shown
* polymorph energy (0 for the lowest one): 0.0 meV/atom

Lattice parameters (Å, degrees): 4.8030 15.0423 3.3805 90.00 90.00 90.00
Fractional positions:
Pu 0.0000 0.1717 0.0000
Pu 0.0000 0.8283 0.0000
Pu 0.5000 0.3283 0.0000
Pu 0.5000 0.6717 0.0000
Sc 0.0000 0.5000 0.0000
Sc 0.5000 0.0000 0.0000
Pt 0.0000 0.0000 0.5000
Pt 0.0000 0.3537 0.5000
Pt 0.0000 0.6463 0.5000
Pt 0.5000 0.1463 0.5000
Pt 0.5000 0.5000 0.5000
Pt 0.5000 0.8537 0.5000

---

The following is a PBE calculation of a relaxed structure of PuSc2Pt, from the Alexandria database.

Values from the calculation:
* formation enthalpy at 0 K: -0.564 eV/atom
* VASP energy: -35.29 eV for the cell shown

Lattice parameters (Å, degrees): 3.2980 3.2980 7.9466 90.00 90.00 90.00
Fractional positions:
Pu 0.0000 0.0000 0.0000
Sc 0.5000 0.5000 0.2978
Sc 0.5000 0.5000 0.7022
Pt 0.0000 0.0000 0.5000

---

The following is a PBE calculation of a relaxed structure of PuScPt, from the Alexandria database.

Values from the calculation:
* formation enthalpy at 0 K: -0.589 eV/atom
* VASP energy: -56.94 eV for the cell shown
* polymorph energy (0 for the lowest one): 96.4 meV/atom

Lattice parameters (Å, degrees): 4.9797 4.9797 6.0207 90.00 90.00 120.00
Fractional positions:
Pu 0.3333 0.6667 0.2500
Pu 0.6667 0.3333 0.7500
Sc 0.0000 0.0000 0.0000
Sc 0.0000 0.0000 0.5000
Pt 0.3333 0.6667 0.7500
Pt 0.6667 0.3333 0.2500

---

The following is a PBE calculation of a relaxed structure of PuScPt, from the Alexandria database.

Values from the calculation:
* formation enthalpy at 0 K: -0.469 eV/atom
* VASP energy: -28.11 eV for the cell shown
* polymorph energy (0 for the lowest one): 216.4 meV/atom

Lattice parameters (Å, degrees): 4.7923 4.7923 3.0458 90.00 90.00 120.00
Fractional positions:
Pu 0.0000 0.0000 0.0000
Sc 0.3333 0.6667 0.3463
Pt 0.6667 0.3333 0.6624

---

The following is a PBE calculation of a relaxed structure of PuScPt, from the Alexandria database.

Values from the calculation:
* formation enthalpy at 0 K: -0.685 eV/atom
* VASP energy: -57.52 eV for the cell shown
* polymorph energy (0 for the lowest one): 0.0 meV/atom

Lattice parameters (Å, degrees): 4.4444 4.4444 7.0859 90.00 90.00 90.00
Fractional positions:
Pu 0.2500 0.2500 0.1252
Pu 0.7500 0.7500 0.8748
Sc 0.2500 0.7500 0.5000
Sc 0.7500 0.2500 0.5000
Pt 0.2500 0.2500 0.7245
Pt 0.7500 0.7500 0.2755